Record 1
VASP calculation (PBE-GGA) on an optimized crystal structure of RbMnTe2.

Computed properties:
E_form (uncorrected), meV per atom: -462.5
D(E_F), states/eV/f.u.: 1.78

Lattice parameters (Å, degrees): 4.394 4.394 8.011 105.91 105.91 90.00
Element x y z (fractional)
1 Mn 0.750 0.250 0.500
2 Te 0.650 0.650 0.300
3 Rb 0.000 0.000 0.000
4 Te 0.350 0.350 0.700

***

Record 2
VASP calculation (PBE-GGA) on an optimized crystal structure of MgCr2BiB.

Computed properties:
Polymorph energy (0 for the lowest one), eV per atom: 0.000
D(E_F), states/eV/f.u.: 1.67

Lattice parameters (Å, degrees): 4.290 4.518 4.290 90.00 90.00 90.00
Element x y z (fractional)
1 Bi 0.500 0.500 0.500
2 Cr 0.500 0.000 0.000
3 B 0.000 0.000 0.000
4 Mg 0.000 0.500 0.000
5 Cr 0.000 0.000 0.500

***

Record 3
VASP calculation (PBE-GGA) on an optimized crystal structure of BaGa2BiAu5.

Computed properties:
VASP energy, eV per atom: -3.413
D(E_F), states/eV/f.u.: 3.21

Lattice parameters (Å, degrees): 4.977 4.977 9.473 90.00 90.00 90.00
Element x y z (fractional)
1 Au 0.500 0.000 0.178
2 Ba 0.000 0.000 0.500
3 Ga 0.500 0.500 0.236
4 Bi 0.000 0.000 0.000
5 Ga 0.500 0.500 0.764
6 Au 0.000 0.500 0.822
7 Au 0.500 0.000 0.822
8 Au 0.500 0.500 0.500
9 Au 0.000 0.500 0.178

***

Record 4
VASP calculation (PBE-GGA) on an optimized crystal structure of PmPtBr.

Computed properties:
Polymorph energy (0 for the lowest one), eV per atom: 0.000
E_form (uncorrected), meV per atom: -1406.0

Lattice parameters (Å, degrees): 4.278 4.278 11.669 79.44 79.44 60.00
Element x y z (fractional)
1 Pt 0.152 0.152 0.544
2 Pm 0.560 0.560 0.320
3 Pt 0.848 0.848 0.456
4 Br 0.280 0.280 0.159
5 Br 0.720 0.720 0.841
6 Pm 0.440 0.440 0.680

***

Record 5
VASP calculation (PBE-GGA) on an optimized crystal structure of ZnAg2HAu.

Computed properties:
Polymorph energy (0 for the lowest one), eV per atom: 0.000
D(E_F), states/eV/f.u.: 1.25

Lattice parameters (Å, degrees): 4.013 4.013 4.463 90.00 90.00 90.00
Element x y z (fractional)
1 Ag 0.000 0.500 0.000
2 Ag 0.500 0.000 0.000
3 Au 0.500 0.500 0.500
4 Zn 0.000 0.000 0.500
5 H 0.000 0.000 0.000

***

Record 6
VASP calculation (PBE-GGA) on an optimized crystal structure of TaCoRe2.

Computed properties:
Polymorph energy (0 for the lowest one), eV per atom: 0.101
D(E_F), states/eV/f.u.: 4.40

Lattice parameters (Å, degrees): 4.418 2.690 5.092 80.95 90.00 90.00
Element x y z (fractional)
1 Co 0.500 0.750 0.750
2 Re 0.000 0.499 0.509
3 Ta 0.500 0.250 0.250
4 Re 0.000 0.001 0.991

***

Record 7
VASP calculation (PBE-GGA) on an optimized crystal structure of KSrBi2O6.

Computed properties:
E_form (uncorrected), meV per atom: -1481.7
D(E_F), states/eV/f.u.: 1.51

Lattice parameters (Å, degrees): 6.086 6.086 6.086 120.95 120.95 88.37
Element x y z (fractional)
1 O 0.543 0.543 0.619
2 Bi 0.250 0.750 0.500
3 O 0.500 0.000 0.500
4 O 0.076 0.457 0.000
5 Sr 0.500 0.500 0.000
6 O 0.457 0.076 0.000
7 O 0.924 0.924 0.381
8 O 0.000 0.500 0.500
9 K 0.000 0.000 0.000
10 Bi 0.750 0.250 0.500

***

Record 8
VASP calculation (PBE-GGA) on an optimized crystal structure of TiV2S.

Computed properties:
E_form (uncorrected), meV per atom: -176.5
D(E_F), states/eV/f.u.: 3.33

Lattice parameters (Å, degrees): 7.238 7.238 5.628 49.99 49.99 90.00
Element x y z (fractional)
1 Ti 0.750 0.250 0.500
2 S 0.500 0.500 0.000
3 S 0.250 0.750 0.500
4 V 0.875 0.791 0.750
5 V 0.209 0.625 0.250
6 V 0.541 0.125 0.250
7 Ti 0.000 0.000 0.000
8 V 0.375 0.459 0.750

***

Record 9
VASP calculation (PBE-GGA) on an optimized crystal structure of LiNd2AlS5.

Computed properties:
E_form (uncorrected), meV per atom: -1682.3

Lattice parameters (Å, degrees): 3.878 8.676 11.355 90.00 90.00 102.91
Element x y z (fractional)
1 Al 0.570 0.140 0.955
2 Li 0.215 0.429 0.019
3 S 0.294 0.587 0.666
4 Nd 0.132 0.264 0.305
5 S 0.502 0.003 0.782
6 S 0.955 0.911 0.558
7 S 0.314 0.628 0.356
8 Nd 0.122 0.244 0.683
9 Nd 0.868 0.736 0.805
10 Al 0.430 0.860 0.455
11 S 0.045 0.089 0.058
12 S 0.498 0.997 0.282
13 S 0.358 0.716 0.000
14 Nd 0.878 0.756 0.183
15 S 0.686 0.372 0.856
16 S 0.706 0.413 0.166
17 S 0.642 0.284 0.500
18 Li 0.785 0.571 0.519

***

Record 10
VASP calculation (PBE-GGA) on an optimized crystal structure of PaTi2CdO8.

Computed properties:
E_form (uncorrected), meV per atom: -2618.7
D(E_F), states/eV/f.u.: 8.25

Lattice parameters (Å, degrees): 5.187 5.187 6.618 113.07 113.07 90.00
Element x y z (fractional)
1 O 0.089 0.007 0.683
2 O 0.324 0.911 0.317
3 O 0.397 0.329 0.163
4 Ti 0.250 0.750 0.500
5 O 0.671 0.234 0.837
6 O 0.766 0.835 0.163
7 Pa 0.000 0.000 0.000
8 O 0.165 0.603 0.837
9 Cd 0.750 0.250 0.500
10 O 0.993 0.406 0.317
11 O 0.594 0.676 0.683
12 Ti 0.500 0.500 0.000

***

Record 11
VASP calculation (PBE-GGA) on an optimized crystal structure of Pa2ReSi6Os.

Computed properties:
E_form (uncorrected), meV per atom: -239.4
D(E_F), states/eV/f.u.: 10.38

Lattice parameters (Å, degrees): 5.828 5.828 12.861 76.90 76.90 60.00
Element x y z (fractional)
1 Si 0.807 0.807 0.160
2 Si 0.193 0.193 0.840
3 Si 0.807 0.227 0.160
4 Si 0.936 0.339 0.386
5 Re 0.500 0.500 0.500
6 Os 0.577 0.577 0.268
7 Si 0.193 0.773 0.840
8 Si 0.773 0.193 0.840
9 Re 0.000 0.000 0.000
10 Si 0.339 0.339 0.386
11 Os 0.423 0.423 0.732
12 Si 0.227 0.807 0.160
13 Pa 0.281 0.281 0.157
14 Si 0.064 0.661 0.614
15 Si 0.339 0.936 0.386
16 Si 0.661 0.661 0.614
17 Si 0.661 0.064 0.614
18 Pa 0.874 0.874 0.379
19 Pa 0.719 0.719 0.843
20 Pa 0.126 0.126 0.621

***

Record 12
VASP calculation (PBE-GGA) on an optimized crystal structure of Nd3Ho2Te6.

Computed properties:
E_form (uncorrected), meV per atom: -1376.5
D(E_F), states/eV/f.u.: 5.16

Lattice parameters (Å, degrees): 4.416 4.416 22.207 84.29 84.29 60.00
Element x y z (fractional)
1 Te 0.194 0.194 0.417
2 Nd 0.277 0.277 0.169
3 Te 0.914 0.914 0.258
4 Te 0.086 0.086 0.742
5 Te 0.806 0.806 0.583
6 Te 0.638 0.638 0.085
7 Nd 0.723 0.723 0.831
8 Ho 0.551 0.551 0.346
9 Nd 0.000 0.000 0.000
10 Ho 0.449 0.449 0.654
11 Te 0.362 0.362 0.915

***

Record 13
VASP calculation (PBE-GGA) on an optimized crystal structure of Fe5Mo.

Computed properties:
VASP energy, eV per atom: -8.718
D(E_F), states/eV/f.u.: 6.40

Lattice parameters (Å, degrees): 6.932 6.932 4.096 90.00 90.00 159.21
Element x y z (fractional)
1 Fe 0.218 0.782 0.500
2 Fe 0.565 0.435 0.500
3 Fe 0.005 0.995 0.000
4 Mo 0.894 0.106 0.500
5 Fe 0.664 0.336 0.000
6 Fe 0.322 0.678 0.000

***

Record 14
VASP calculation (PBE-GGA) on an optimized crystal structure of CoGeAsPt.

Computed properties:
Polymorph energy (0 for the lowest one), eV per atom: 0.151
D(E_F), states/eV/f.u.: 2.16

Lattice parameters (Å, degrees): 3.435 2.769 13.807 90.00 90.00 90.00
Element x y z (fractional)
1 Co 0.500 0.500 0.624
2 As 0.000 0.000 0.548
3 Ge 0.500 0.500 0.268
4 Ge 0.500 0.000 0.768
5 As 0.000 0.500 0.048
6 Co 0.500 0.000 0.124
7 Pt 0.000 0.500 0.864
8 Pt 0.000 0.000 0.364

***

Record 15
VASP calculation (PBE-GGA) on an optimized crystal structure of Hf4Zn3Cu.

Computed properties:
VASP energy, eV per atom: -6.129
D(E_F), states/eV/f.u.: 7.77

Lattice parameters (Å, degrees): 3.262 3.262 13.377 90.00 90.00 90.00
Element x y z (fractional)
1 Hf 0.000 0.000 0.878
2 Hf 0.000 0.000 0.626
3 Zn 0.500 0.500 0.500
4 Cu 0.500 0.500 0.000
5 Zn 0.500 0.500 0.753
6 Hf 0.000 0.000 0.374
7 Hf 0.000 0.000 0.122
8 Zn 0.500 0.500 0.247

***

Record 16
VASP calculation (PBE-GGA) on an optimized crystal structure of YMg5Ag2.

Computed properties:
VASP energy, eV per atom: -2.683
D(E_F), states/eV/f.u.: 4.10

Lattice parameters (Å, degrees): 3.497 7.429 7.429 74.63 76.39 76.39
Element x y z (fractional)
1 Mg 0.641 0.571 0.147
2 Mg 0.359 0.429 0.853
3 Y 0.000 0.000 0.000
4 Ag 0.263 0.237 0.237
5 Mg 0.000 0.500 0.500
6 Ag 0.737 0.763 0.763
7 Mg 0.359 0.853 0.429
8 Mg 0.641 0.147 0.571

***

Record 17
VASP calculation (PBE-GGA) on an optimized crystal structure of Na2NbNi2S4.

Computed properties:
E_form (uncorrected), meV per atom: -846.5
D(E_F), states/eV/f.u.: 3.88

Lattice parameters (Å, degrees): 3.520 7.102 6.841 109.36 104.91 90.00
Element x y z (fractional)
1 Ni 0.329 0.014 0.657
2 S 0.511 0.749 0.021
3 Nb 0.000 0.000 0.000
4 S 0.796 0.812 0.593
5 Ni 0.671 0.986 0.343
6 Na 0.866 0.441 0.731
7 S 0.204 0.188 0.407
8 S 0.489 0.251 0.979
9 Na 0.134 0.559 0.269

***

Record 18
VASP calculation (PBE-GGA) on an optimized crystal structure of CaZnI2.

Computed properties:
Polymorph energy (0 for the lowest one), eV per atom: 0.052
E_form (uncorrected), meV per atom: -768.7
D(E_F), states/eV/f.u.: 0.00

Lattice parameters (Å, degrees): 5.656 5.656 5.656 60.00 60.00 60.00
Element x y z (fractional)
1 I 0.750 0.750 0.750
2 Ca 0.000 0.000 0.000
3 I 0.250 0.250 0.250
4 Zn 0.500 0.500 0.500

***

Record 19
VASP calculation (PBE-GGA) on an optimized crystal structure of TlAg.

Computed properties:
VASP energy, eV per atom: -2.462
D(E_F), states/eV/f.u.: 0.62

Lattice parameters (Å, degrees): 4.542 4.542 5.802 90.00 90.00 120.00
Element x y z (fractional)
1 Ag 0.000 0.000 0.500
2 Tl 0.667 0.333 0.750
3 Tl 0.333 0.667 0.250
4 Ag 0.000 0.000 0.000

***

Record 20
VASP calculation (PBE-GGA) on an optimized crystal structure of La2CuSe.

Computed properties:
E_form (uncorrected), meV per atom: -882.6
D(E_F), states/eV/f.u.: 2.13

Lattice parameters (Å, degrees): 5.016 5.394 3.689 90.00 90.00 90.00
Element x y z (fractional)
1 Cu 0.000 0.500 0.500
2 Se 0.500 0.000 0.500
3 La 0.000 0.000 0.000
4 La 0.500 0.500 0.000